A geometry-optimized CrRe3 structure. Source: Alexandria, functional GGA-PBE.

Unit cell a=8.9505 b=2.7487 c=2.7487 alpha=60.00 beta=81.17 gamma=81.17
Positions (direct):
Cr: 0.0000 0.0000 0.0000
Re: 0.7587 0.7471 0.7471
Re: 0.5000 0.5000 0.5000
Re: 0.2413 0.2529 0.2529

- ΔE_f: 0.148 eV/atom
- Volume: 14.41 Å³ per atom

---

A geometry-optimized Np3PaSe4 structure. Source: Alexandria, functional GGA-PBE.

Unit cell a=7.0776 b=7.0703 c=8.1290 alpha=90.00 beta=90.00 gamma=109.27
Each line ends with the local moment (μB).
Positions (direct):
Np: 0.7500 0.0000 0.3736  3.97
Np: 0.2500 0.0000 0.6264  3.97
Np: 0.7500 0.5000 0.6262  3.98
Np: 0.7500 0.5000 0.1232  3.95
Np: 0.2500 0.5000 0.3738  3.98
Np: 0.2500 0.5000 0.8768  3.95
Pa: 0.7500 0.0000 0.8770  0.38
Pa: 0.2500 0.0000 0.1230  0.38
Se: 0.0014 0.2519 0.6239  -0.07
Se: 0.5003 0.2532 0.8732  -0.05
Se: 0.5014 0.2519 0.3761  -0.07
Se: 0.0003 0.2532 0.1268  -0.05
Se: 0.9997 0.7468 0.8732  -0.05
Se: 0.4986 0.7481 0.6239  -0.07
Se: 0.4997 0.7468 0.1268  -0.05
Se: 0.9986 0.7481 0.3761  -0.07

- Offset from the most stable computed form: 0.000 eV per atom
- Volume: 24.00 Å³ per atom
- Raw formation energy: -1100 meV per atom

---

A geometry-optimized TmPd4 structure. Source: Alexandria, functional GGA-PBE.

Unit cell a=5.4980 b=4.5799 c=9.2465 alpha=128.22 beta=90.00 gamma=90.00
Positions (direct):
Tm: 0.0000 0.0000 0.0000
Tm: 0.5000 0.0000 0.5000
Pd: 0.2504 0.0005 0.2501
Pd: 0.7504 0.9995 0.2499
Pd: 0.7496 0.9995 0.7499
Pd: 0.2496 0.0005 0.7501
Pd: 0.0002 0.3613 0.6057
Pd: 0.5002 0.6387 0.8943
Pd: 0.9998 0.6387 0.3943
Pd: 0.4998 0.3613 0.1057

- ΔE_f: -0.492 eV/atom
- Volume: 18.29 Å³ per atom

---

A geometry-optimized CaTcHg2 structure. Source: Alexandria, functional GGA-PBE.

Unit cell a=3.2811 b=3.2811 c=8.4043 alpha=90.00 beta=90.00 gamma=90.00
Each line ends with the local moment (μB).
Positions (direct):
Ca: 0.5000 0.5000 0.7285  -0.01
Hg: 0.0000 0.0000 0.0087  0.00
Hg: 0.5000 0.5000 0.2816  0.02
Tc: 0.0000 0.0000 0.4812  1.71

- ΔE_f: 0.338 eV/atom
- Offset from the most stable computed form: 0.107 eV per atom
- Volume: 22.62 Å³ per atom

---

Question: Which formula does entry 2 have?
Answer: Np3PaSe4

---

Please write out number 3 again, unchanged.
A geometry-optimized TmPd4 structure. Source: Alexandria, functional GGA-PBE.

Unit cell a=5.4980 b=4.5799 c=9.2465 alpha=128.22 beta=90.00 gamma=90.00
Positions (direct):
Tm: 0.0000 0.0000 0.0000
Tm: 0.5000 0.0000 0.5000
Pd: 0.2504 0.0005 0.2501
Pd: 0.7504 0.9995 0.2499
Pd: 0.7496 0.9995 0.7499
Pd: 0.2496 0.0005 0.7501
Pd: 0.0002 0.3613 0.6057
Pd: 0.5002 0.6387 0.8943
Pd: 0.9998 0.6387 0.3943
Pd: 0.4998 0.3613 0.1057

- ΔE_f: -0.492 eV/atom
- Volume: 18.29 Å³ per atom

---

Question: Among the records above, which one has the highest volume?
Answer: Np3PaSe4